Record 1
Computed, not measured: a geometry-optimized La2Tb3Se4 structure at the GGA-PBE level of DFT.

Calculated values
The space group is C2/m, No. 12. The value obtained for the calculated volume is 249 Å³/f.u. For the total energy, the calculation gives -5.774 eV per atom.

Cell: 4.064 10.937 13.792 Å, 24.46 81.53 79.29°
Fractional coordinates of all 9 atoms:
1 Tb 0.802 0.594 0.802
2 Tb 0.000 0.000 0.000
3 Tb 0.198 0.406 0.198
4 Se 0.600 0.701 0.099
5 Se 0.400 0.299 0.901
6 Se 0.202 0.894 0.702
7 Se 0.798 0.106 0.298
8 La 0.407 0.779 0.407
9 La 0.593 0.221 0.593

---

Record 2
Computed, not measured: a geometry-optimized La4Tb3Se8 structure at the GGA-PBE level of DFT.

Calculated values
The space group is R-3m, No. 166. The value obtained for the calculated volume is 458 Å³/f.u. For the relative energy among the computed polymorphs, the calculation gives 198.5 meV per atom.

Cell: 8.221 8.221 9.147 Å, 63.30 63.30 60.00°
Fractional coordinates of all 15 atoms:
1 Tb 0.000 0.000 0.500
2 Tb 0.000 0.500 0.500
3 Tb 0.500 0.000 0.500
4 La 0.500 0.500 0.500
5 La 0.648 0.648 0.057
6 La 0.000 0.000 0.000
7 La 0.352 0.352 0.943
8 Se 0.750 0.234 0.265
9 Se 0.230 0.230 0.309
10 Se 0.770 0.770 0.691
11 Se 0.766 0.250 0.735
12 Se 0.250 0.766 0.735
13 Se 0.250 0.250 0.735
14 Se 0.234 0.750 0.265
15 Se 0.750 0.750 0.265

---

Record 3
Computed, not measured: a geometry-optimized La3Tb5Se8 structure at the GGA-PBE level of DFT.

Calculated values
The space group is R-3m, No. 166. The value obtained for the calculated volume is 413 Å³/f.u. For the total energy, the calculation gives -5.966 eV per atom.

Cell: 8.339 8.339 8.375 Å, 60.14 60.14 60.00°
Fractional coordinates of all 16 atoms:
1 Se 0.250 0.250 0.761
2 Se 0.250 0.739 0.761
3 Se 0.256 0.256 0.233
4 Se 0.750 0.261 0.239
5 Se 0.744 0.744 0.767
6 Se 0.750 0.750 0.239
7 Se 0.261 0.750 0.239
8 Se 0.739 0.250 0.761
9 La 0.000 0.500 0.500
10 La 0.000 0.000 0.500
11 La 0.500 0.000 0.500
12 Tb 0.500 0.500 0.500
13 Tb 0.500 0.000 0.000
14 Tb 0.000 0.500 0.000
15 Tb 0.500 0.500 0.000
16 Tb 0.000 0.000 0.000

---

Record 4
Computed, not measured: a geometry-optimized LaTb2Se3 structure at the GGA-PBE level of DFT.

Calculated values
The space group is Immm, No. 71. The value obtained for the calculated volume is 154 Å³/f.u. For the total energy, the calculation gives -5.945 eV per atom.

Cell: 4.152 5.909 7.235 Å, 114.10 106.68 90.00°
Fractional coordinates of all 6 atoms:
1 Se 0.000 0.000 0.000
2 Se 0.677 0.677 0.353
3 Se 0.323 0.323 0.647
4 Tb 0.338 0.838 0.676
5 Tb 0.662 0.162 0.324
6 La 0.000 0.500 0.000

---

Record 5
Computed, not measured: a geometry-optimized La4TbSe7 structure at the GGA-PBE level of DFT.

Calculated values
The space group is Cm, No. 8. The value obtained for the calculated volume is 354 Å³/f.u. For the total energy, the calculation gives -6.058 eV per atom.

Cell: 4.169 7.320 12.538 Å, 104.64 90.00 106.54°
Fractional coordinates of all 12 atoms:
1 Se 0.742 0.484 0.357
2 Se 0.960 0.919 0.216
3 Se 0.338 0.677 0.948
4 Se 0.660 0.320 0.051
5 Se 0.269 0.539 0.648
6 Se 0.494 0.988 0.503
7 Se 0.038 0.077 0.777
8 La 0.698 0.396 0.806
9 La 0.302 0.604 0.192
10 La 0.999 0.999 0.997
11 La 0.112 0.224 0.427
12 Tb 0.886 0.773 0.577

---

Record 6
Computed, not measured: a geometry-optimized La3Tb2ThSe6 structure at the GGA-PBE level of DFT.

Calculated values
The space group is C2/m, No. 12. The value obtained for the calculated volume is 319 Å³/f.u. For the total energy, the calculation gives -6.210 eV per atom.

Cell: 4.210 8.473 9.441 Å, 102.98 102.88 90.00°
Fractional coordinates of all 12 atoms:
1 Se 0.995 0.750 0.989
2 Se 0.333 0.904 0.665
3 Se 0.671 0.574 0.343
4 Se 0.005 0.250 0.011
5 Se 0.329 0.426 0.657
6 Se 0.667 0.096 0.335
7 La 0.163 0.833 0.327
8 La 0.500 0.500 0.000
9 La 0.837 0.167 0.673
10 Tb 0.166 0.332 0.331
11 Tb 0.834 0.668 0.669
12 Th 0.500 0.000 0.000

---

- The highest calculated volume belongs to which entry?
  La4Tb3Se8